Record 1
DFT (PBE-GGA) results for crystalline Tb2PmYSc at its relaxed geometry.

Cell: 6.9872 6.9872 7.0882 Å, 90.00 90.00 108.31°
Atoms (fractional coordinates):
Tb 0.1980 0.1980 0.0000
Tb 0.1980 0.1980 0.5000
Tb 0.8020 0.8020 0.0000
Tb 0.8020 0.8020 0.5000
Pm 0.2234 0.7766 0.7500
Pm 0.7766 0.2234 0.2500
Y 0.2423 0.7577 0.2500
Y 0.7577 0.2423 0.7500
Sc 0.4850 0.5150 0.7500
Sc 0.5150 0.4850 0.2500

Results
The magnetic moment is 0.0 μB per formula unit. The total energy is -50.30 eV per cell.

***

Record 2
DFT (PBE-GGA) results for crystalline Tb2PmZrSc4 at its relaxed geometry.

Cell: 4.8107 4.8107 9.3072 Å, 90.00 90.00 90.00°
Atoms (fractional coordinates):
Tb 0.0000 0.0000 0.0000
Tb 0.5000 0.5000 0.5000
Pm 0.0000 0.0000 0.5000
Zr 0.5000 0.5000 0.0000
Sc 0.0000 0.5000 0.2374
Sc 0.0000 0.5000 0.7626
Sc 0.5000 0.0000 0.2374
Sc 0.5000 0.0000 0.7626

Results
The magnetic moment is 0.0 μB per formula unit. The total energy is -47.43 eV per cell.

***

Record 3
DFT (PBE-GGA) results for crystalline PmSc3Tc at its relaxed geometry.

Cell: 5.0859 5.0859 5.0859 Å, 90.00 90.00 90.00°
Atoms (fractional coordinates):
Pm 0.0000 0.0000 0.0000
Sc 0.0000 0.5000 0.5000
Sc 0.5000 0.0000 0.5000
Sc 0.5000 0.5000 0.0000
Tc 0.5000 0.5000 0.5000

Results
The magnetic moment is 0.0 μB per formula unit. The total energy is -34.01 eV per cell.

***

Record 4
DFT (PBE-GGA) results for crystalline PmScTc4 at its relaxed geometry.

Cell: 5.3717 5.3717 5.3717 Å, 60.00 60.00 60.00°
Atoms (fractional coordinates):
Pm 0.0000 0.0000 0.0000
Sc 0.7500 0.7500 0.7500
Tc 0.3753 0.3753 0.3753
Tc 0.3753 0.3753 0.8740
Tc 0.3753 0.8740 0.3753
Tc 0.8740 0.3753 0.3753

Results
The magnetic moment is 0.0 μB per formula unit. The total energy is -53.09 eV per cell.

***

Record 5
DFT (PBE-GGA) results for crystalline Pm3Sc5Te12 at its relaxed geometry.

Cell: 15.3529 15.3529 15.3529 Å, 109.47 109.47 109.47°
Atoms (fractional coordinates):
Pm 0.1250 0.2500 0.3750
Pm 0.1250 0.3750 0.7500
Pm 0.2500 0.3750 0.1250
Pm 0.2500 0.8750 0.6250
Pm 0.3750 0.1250 0.2500
Pm 0.3750 0.7500 0.1250
Pm 0.6250 0.2500 0.8750
Pm 0.6250 0.8750 0.7500
Pm 0.7500 0.1250 0.3750
Pm 0.7500 0.6250 0.8750
Pm 0.8750 0.6250 0.2500
Pm 0.8750 0.7500 0.6250
Sc 0.0000 0.0000 0.0000
Sc 0.0000 0.0000 0.5000
Sc 0.0000 0.5000 0.0000
Sc 0.0000 0.5000 0.5000
Sc 0.1250 0.7500 0.8750
Sc 0.1250 0.8750 0.2500
Sc 0.2500 0.1250 0.8750
Sc 0.2500 0.6250 0.3750
Sc 0.3750 0.2500 0.6250
Sc 0.3750 0.6250 0.7500
Sc 0.5000 0.0000 0.0000
Sc 0.5000 0.0000 0.5000
Sc 0.5000 0.5000 0.0000
Sc 0.5000 0.5000 0.5000
Sc 0.6250 0.3750 0.2500
Sc 0.6250 0.7500 0.3750
Sc 0.7500 0.3750 0.6250
Sc 0.7500 0.8750 0.1250
Sc 0.8750 0.1250 0.7500
Sc 0.8750 0.2500 0.1250
Te 0.0402 0.2158 0.1248
Te 0.0402 0.3244 0.9154
Te 0.0846 0.6248 0.4090
Te 0.0846 0.9598 0.6756
Te 0.0910 0.7158 0.6756
Te 0.0910 0.8752 0.4154
Te 0.1248 0.0402 0.2158
Te 0.1248 0.5846 0.9090
Te 0.1756 0.2158 0.5910
Te 0.1756 0.4598 0.5846
Te 0.2158 0.1248 0.0402
Te 0.2158 0.5910 0.1756
Te 0.2842 0.3244 0.9090
Te 0.2842 0.4598 0.3752
Te 0.3244 0.9090 0.2842
Te 0.3244 0.9154 0.0402
Te 0.3752 0.2842 0.4598
Te 0.3752 0.5910 0.9154
Te 0.4090 0.0846 0.6248
Te 0.4090 0.8244 0.7842
Te 0.4154 0.0910 0.8752
Te 0.4154 0.8244 0.5402
Te 0.4598 0.3752 0.2842
Te 0.4598 0.5846 0.1756
Te 0.5402 0.4154 0.8244
Te 0.5402 0.6248 0.7158
Te 0.5846 0.1756 0.4598
Te 0.5846 0.9090 0.1248
Te 0.5910 0.1756 0.2158
Te 0.5910 0.9154 0.3752
Te 0.6248 0.4090 0.0846
Te 0.6248 0.7158 0.5402
Te 0.6756 0.0846 0.9598
Te 0.6756 0.0910 0.7158
Te 0.7158 0.5402 0.6248
Te 0.7158 0.6756 0.0910
Te 0.7842 0.4090 0.8244
Te 0.7842 0.8752 0.9598
Te 0.8244 0.5402 0.4154
Te 0.8244 0.7842 0.4090
Te 0.8752 0.4154 0.0910
Te 0.8752 0.9598 0.7842
Te 0.9090 0.1248 0.5846
Te 0.9090 0.2842 0.3244
Te 0.9154 0.0402 0.3244
Te 0.9154 0.3752 0.5910
Te 0.9598 0.6756 0.0846
Te 0.9598 0.7842 0.8752

Results
The magnetic moment is 0.0 μB per formula unit. The total energy is -425.95 eV per cell. The value obtained for the formation energy without anion corrections is -22.9 eV/f.u.

***

Record 6
DFT (PBE-GGA) results for crystalline PmSc4Te8 at its relaxed geometry.

Cell: 8.6414 8.6414 8.6414 Å, 60.00 60.00 60.00°
Atoms (fractional coordinates):
Pm 0.0000 0.0000 0.0000
Sc 0.1540 0.6153 0.6153
Sc 0.6153 0.1540 0.6153
Sc 0.6153 0.6153 0.1540
Sc 0.6153 0.6153 0.6153
Te 0.3782 0.3782 0.3782
Te 0.3782 0.3782 0.8654
Te 0.3782 0.8654 0.3782
Te 0.4219 0.8594 0.8594
Te 0.8594 0.4219 0.8594
Te 0.8594 0.8594 0.4219
Te 0.8594 0.8594 0.8594
Te 0.8654 0.3782 0.3782

Results
The magnetic moment is 0.0 μB per formula unit. The total energy is -69.36 eV per cell. The value obtained for the formation energy without anion corrections is -14.1 eV/f.u.

***

Record 7
DFT (PBE-GGA) results for crystalline PmSc3Te2 at its relaxed geometry.

Cell: 7.8938 7.8938 11.5814 Å, 115.91 115.91 29.81°
Atoms (fractional coordinates):
Pm 0.1370 0.1370 0.0584
Pm 0.8630 0.8630 0.9416
Sc 0.0428 0.0428 0.3600
Sc 0.2825 0.2825 0.6105
Sc 0.3844 0.3844 0.4053
Sc 0.6156 0.6156 0.5947
Sc 0.7175 0.7175 0.3895
Sc 0.9572 0.9572 0.6400
Te 0.1875 0.1875 0.8056
Te 0.4778 0.4778 0.8412
Te 0.5222 0.5222 0.1588
Te 0.8125 0.8125 0.1944

Results
The magnetic moment is 0.9 μB per formula unit. The total energy is -70.11 eV per cell. The value obtained for the formation energy without anion corrections is -5.0 eV/f.u.

***

Record 8
DFT (PBE-GGA) results for crystalline Pm6ScTe8 at its relaxed geometry.

Cell: 8.8762 8.8762 8.8762 Å, 60.00 60.00 60.00°
Atoms (fractional coordinates):
Pm 0.0000 0.0000 0.5000
Pm 0.0000 0.5000 0.0000
Pm 0.0000 0.5000 0.5000
Pm 0.5000 0.0000 0.0000
Pm 0.5000 0.0000 0.5000
Pm 0.5000 0.5000 0.0000
Sc 0.0000 0.0000 0.0000
Te 0.2430 0.2430 0.7570
Te 0.2430 0.7570 0.2430
Te 0.2430 0.7570 0.7570
Te 0.2500 0.2500 0.2500
Te 0.7500 0.7500 0.7500
Te 0.7570 0.2430 0.2430
Te 0.7570 0.2430 0.7570
Te 0.7570 0.7570 0.2430

Results
The magnetic moment is 0.0 μB per formula unit. The total energy is -81.03 eV per cell. The value obtained for the formation energy without anion corrections is -21.1 eV/f.u.